# TbMnCoB2, optimized geometry, DFT GGA-PBE
data_TbMnCoB2
_chemical_formula_sum 'Tb1 Mn1 Co1 B2'
_cell_length_a 5.440
_cell_length_b 5.440
_cell_length_c 5.440
_cell_angle_alpha 141.74
_cell_angle_beta 141.74
_cell_angle_gamma 55.21
_symmetry_space_group_name_H-M 'P 1'
_symmetry_Int_Tables_number 1
loop_
_symmetry_equiv_pos_as_xyz
'x,y,z'
loop_
_atom_site_label
_atom_site_type_symbol
_atom_site_fract_x
_atom_site_fract_y
_atom_site_fract_z
Tb1 Tb 0.000 0.000 0.000
Mn1 Mn 0.250 0.750 0.500
Co1 Co 0.750 0.250 0.500
B1 B 0.355 0.355 0.000
B2 B 0.645 0.645 0.000
# E   -7.30 eV/atom
# Space group   No. 119